# CaReSe2 (PBE, relaxed)
# formation energy from raw total energies	-39.6	kJ/mol of atoms
# energy above the lowest structure with this stoichiometry	0.38	eV/f.u.
# uncorrected energy	-0.2119	hartree per atom
data_CaReSe2
_cell_length_a 8.470
_cell_length_b 3.398
_cell_length_c 6.336
_cell_angle_alpha 90.00
_cell_angle_beta 107.52
_cell_angle_gamma 90.00
_symmetry_space_group_name_H-M 'C 1 m 1'
_symmetry_Int_Tables_number 8
_symmetry_space_group_name_Hall 'C -2y'
loop_
_atom_site_label
_atom_site_fract_x
_atom_site_fract_y
_atom_site_fract_z
_atom_site_occupancy
Ca1 0.000 0.000 0.000 1
Re1 0.227 0.500 0.428 1
Se1 0.228 0.000 0.729 1
Se2 0.416 0.000 0.346 1

***

# CaReSe (PBE, relaxed)
# formation energy from raw total energies	120.7	kJ/mol of atoms
# energy above the lowest structure with this stoichiometry	3.77	eV/f.u.
# uncorrected energy	-0.1737	hartree per atom
data_CaReSe
_cell_length_a 6.966
_cell_length_b 6.966
_cell_length_c 6.966
_cell_angle_alpha 90.00
_cell_angle_beta 90.00
_cell_angle_gamma 90.00
_symmetry_space_group_name_H-M 'F -4 3 m'
_symmetry_Int_Tables_number 216
_symmetry_space_group_name_Hall 'F -4 2 3'
loop_
_atom_site_label
_atom_site_fract_x
_atom_site_fract_y
_atom_site_fract_z
_atom_site_occupancy
Ca1 0.000 0.000 0.000 1
Re1 0.250 0.250 0.250 1
Se1 0.250 0.250 0.750 1

***

# CaReSe3 (PBE, relaxed)
# formation energy from raw total energies	-22.7	kJ/mol of atoms
# energy above the lowest structure with this stoichiometry	0.00	eV/f.u.
# uncorrected energy	-0.1917	hartree per atom
data_CaReSe3
_cell_length_a 4.995
_cell_length_b 4.995
_cell_length_c 4.995
_cell_angle_alpha 90.00
_cell_angle_beta 90.00
_cell_angle_gamma 90.00
_symmetry_space_group_name_H-M 'P m -3 m'
_symmetry_Int_Tables_number 221
_symmetry_space_group_name_Hall '-P 4 2 3'
loop_
_atom_site_label
_atom_site_fract_x
_atom_site_fract_y
_atom_site_fract_z
_atom_site_occupancy
Ca1 0.000 0.000 0.000 1
Re1 0.500 0.500 0.500 1
Se1 0.000 0.500 0.500 1

***

# CaRe3Se (PBE, relaxed)
# formation energy from raw total energies	126.2	kJ/mol of atoms
# energy above the lowest structure with this stoichiometry	0.00	eV/f.u.
# uncorrected energy	-0.2667	hartree per atom
data_CaRe3Se
_cell_length_a 4.643
_cell_length_b 4.643
_cell_length_c 4.643
_cell_angle_alpha 90.00
_cell_angle_beta 90.00
_cell_angle_gamma 90.00
_symmetry_space_group_name_H-M 'P m -3 m'
_symmetry_Int_Tables_number 221
_symmetry_space_group_name_Hall '-P 4 2 3'
loop_
_atom_site_label
_atom_site_fract_x
_atom_site_fract_y
_atom_site_fract_z
_atom_site_occupancy
Ca1 0.000 0.000 0.000 1
Re1 0.000 0.500 0.500 1
Se1 0.500 0.500 0.500 1

***

# CaReSe2 (PBE, relaxed)
# formation energy from raw total energies	63.9	kJ/mol of atoms
# energy above the lowest structure with this stoichiometry	4.67	eV/f.u.
# uncorrected energy	-0.1724	hartree per atom
data_CaReSe2
_cell_length_a 6.791
_cell_length_b 6.791
_cell_length_c 6.791
_cell_angle_alpha 90.00
_cell_angle_beta 90.00
_cell_angle_gamma 90.00
_symmetry_space_group_name_H-M 'F -4 3 m'
_symmetry_Int_Tables_number 216
_symmetry_space_group_name_Hall 'F -4 2 3'
loop_
_atom_site_label
_atom_site_fract_x
_atom_site_fract_y
_atom_site_fract_z
_atom_site_occupancy
Ca1 0.000 0.000 0.000 1
Re1 0.250 0.250 0.750 1
Se1 0.000 0.000 0.500 1
Se2 0.250 0.250 0.250 1

***

# CaReSe (PBE, relaxed)
# formation energy from raw total energies	12.8	kJ/mol of atoms
# energy above the lowest structure with this stoichiometry	0.41	eV/f.u.
# uncorrected energy	-0.2148	hartree per atom
data_CaReSe
_cell_length_a 3.4553
_cell_length_b 3.4553
_cell_length_c 6.1691
_cell_angle_alpha 90.00
_cell_angle_beta 90.00
_cell_angle_gamma 120.00
_symmetry_space_group_name_H-M 'P 3 m 1'
_symmetry_Int_Tables_number 156
_symmetry_space_group_name_Hall 'P 3 -2"'
loop_
_atom_site_label
_atom_site_fract_x
_atom_site_fract_y
_atom_site_fract_z
_atom_site_occupancy
Ca1 0.0000 0.0000 0.0000 1
Re1 0.6667 0.3333 0.3891 1
Se1 0.3333 0.6667 0.6264 1